Crystalline BeTeH at its relaxed geometry, computed with GGA-PBE.

a = 10.140 Å, b = 7.320 Å, c = 3.943 Å
α = 75.94°, β = 90.00°, γ = 90.00°
Sites, in units of the cell vectors:
Be  0.379  0.601  0.315
Be  0.879  0.899  0.185
Be  0.621  0.399  0.685
Be  0.121  0.101  0.815
Te  0.116  0.893  0.405
Te  0.616  0.607  0.095
Te  0.884  0.107  0.595
Te  0.384  0.393  0.905
H  0.307  0.768  0.232
H  0.807  0.732  0.268
H  0.693  0.232  0.768
H  0.193  0.268  0.732

Summary:
Offset from the most stable computed form: 0.3348 eV/atom

Crystalline Y2SnPb2 at its relaxed geometry, computed with GGA-PBE.

a = 8.056 Å, b = 8.056 Å, c = 4.656 Å
α = 90.00°, β = 90.00°, γ = 90.00°
Sites, in units of the cell vectors:
Pb  0.141  0.641  0.500
Pb  0.641  0.859  0.500
Pb  0.859  0.359  0.500
Pb  0.359  0.141  0.500
Y  0.334  0.834  0.000
Y  0.834  0.666  0.000
Y  0.666  0.166  0.000
Y  0.166  0.334  0.000
Sn  0.000  0.000  0.000
Sn  0.500  0.500  0.000

Summary:
Offset from the most stable computed form: 0.0000 eV/atom
E_form: -0.3896 eV per atom